11
Lattice="-4.859 3.146 -1.034 -0.353 -4.877 3.267 2.588 3.931 4.621" Properties=species:S:1:pos:R:3 comment="K2Sm2RhO6 | the Alexandria database | GGA-PBE | optimized geometry" volume_a3_per_fu=192.04 e_form_raw_ev_per_atom=-2.08 n_ef_per_ev_atom=0.72 spacegroup=C2/m pbc="T T T"
K -4.154 1.890 -0.361
K -1.058 -3.621 2.593
Sm -0.572 -0.218 4.133
Sm -2.053 2.418 2.720
Rh 1.294 1.965 2.311
O -2.186 1.356 4.820
O 1.399 1.073 4.216
O -0.438 0.844 2.033
O 0.016 3.534 2.897
O -4.023 1.127 2.637
O -2.640 -1.335 3.957